# SrPuNi2H8 PBE relaxed
# E_tot, eV/cell: -170.47
data_SrPuNi2H8
_chemical_formula_sum 'Sr3 Pu3 Ni6 H24'
_cell_length_a 4.5509
_cell_length_b 4.5509
_cell_length_c 19.4320
_cell_angle_alpha 90.00
_cell_angle_beta 90.00
_cell_angle_gamma 120.00
_symmetry_space_group_name_H-M 'R -3 m'
_symmetry_Int_Tables_number 166
_symmetry_space_group_name_Hall '-R 3 2"'
loop_
_atom_site_label
_atom_site_type_symbol
_atom_site_fract_x
_atom_site_fract_y
_atom_site_fract_z
_atom_site_occupancy
Sr1 Sr 0.0000 0.0000 0.0000 1
Pu1 Pu 0.0000 0.0000 0.5000 1
Ni1 Ni 0.0000 0.0000 0.2286 1
H1 H 0.0000 0.0000 0.1463 1
H2 H 0.0277 0.5138 0.0686 1